## P
# CdFe2O4

Crystalline CdFe2O4 at its relaxed geometry (PBE+U, Alexandria via LeMat-Bulk).

## Properties
magnetization	1.4286	μB per atom
density	6.18	g cm⁻³

Cell and atoms, written as CIF:
```
data_CdFe2O4
_space_group_name_H-M_alt 'P n m a'
_space_group_IT_number 62
_space_group_name_Hall '-P 2ac 2n'
_cell_length_a 9.389
_cell_length_b 3.037
_cell_length_c 10.863
_cell_angle_alpha 90.00
_cell_angle_beta 90.00
_cell_angle_gamma 90.00
loop_
_atom_site_label
_atom_site_type_symbol
_atom_site_fract_x
_atom_site_fract_y
_atom_site_fract_z
_atom_site_occupancy
Cd1 Cd 0.243 0.250 0.156 1
Fe1 Fe 0.062 0.250 0.386 1
Fe2 Fe 0.085 0.250 0.896 1
O1 O 0.032 0.750 0.784 1
O2 O 0.083 0.250 0.571 1
O3 O 0.117 0.750 0.026 1
O4 O 0.203 0.750 0.338 1
```


## Q
# CdFe2O4

Crystalline CdFe2O4 at its relaxed geometry (PBE+U, Alexandria via LeMat-Bulk).

## Properties
magnetization	1.4282	μB per atom
density	5.35	g cm⁻³

Cell and atoms, written as CIF:
```
data_CdFe2O4
_space_group_name_H-M_alt 'R -3 m'
_space_group_IT_number 166
_space_group_name_Hall '-R 3 2"'
_cell_length_a 3.4426
_cell_length_b 3.4426
_cell_length_c 26.1415
_cell_angle_alpha 90.00
_cell_angle_beta 90.00
_cell_angle_gamma 120.00
loop_
_atom_site_label
_atom_site_type_symbol
_atom_site_fract_x
_atom_site_fract_y
_atom_site_fract_z
_atom_site_occupancy
Cd1 Cd 0.0000 0.0000 0.0000 1
Fe1 Fe 0.0000 0.0000 0.2165 1
O1 O 0.0000 0.0000 0.1316 1
O2 O 0.0000 0.0000 0.2865 1
```


What is the most stable structure shown above? It is P.